[1]
VASP calculation (PBE-GGA) on LaTb3Ho8 after structural relaxation.

Summary:
* calculated total energy: -3.9627 eV/atom
* space group: I-42m (121)
* formation energy: 0.66 eV/atom
* volume: 35.32 Å³/atom

The structure in extended XYZ format:
```
12
Lattice="-3.036 3.229 -7.056 0.709 -8.292 0.428 -4.718 0.617 6.841" Properties=species:S:1:pos:R:3 pbc="T T T"
La 0.709 -8.292 0.428
Tb -2.166 -4.450 -1.497
Tb -4.880 0.005 1.709
Tb -2.005 -3.837 3.634
Ho -2.575 -0.355 -1.686
Ho -4.520 -4.185 1.989
Ho -3.675 -2.761 -5.051
Ho -6.357 1.641 -1.883
Ho -2.283 -2.097 0.980
Ho -2.784 1.439 -4.355
Ho -3.676 -4.610 6.234
Ho -2.311 -6.851 4.621
```

[2]
VASP calculation (PBE-GGA) on La2Tb2Ho3 after structural relaxation.

Summary:
* calculated total energy: -4.5600 eV/atom
* space group: C2/m (12)
* formation energy: 0.13 eV/atom
* ΔE to the lowest computed polymorph: 111 meV per atom
* volume: 33.58 Å³/atom

The structure in extended XYZ format:
```
7
Lattice="3.522 0.000 0.000 0.000 8.573 -0.762 -1.761 -3.615 8.108" Properties=species:S:1:pos:R:3 pbc="T T T"
La 1.761 7.368 0.398
La 0.000 -2.411 6.949
Tb 1.761 3.140 5.126
Tb 0.000 1.818 2.221
Ho 0.000 4.286 -0.381
Ho 0.000 5.318 2.823
Ho 1.761 -0.361 4.523
```

[3]
VASP calculation (PBE-GGA) on LaTbHo2 after structural relaxation.

Summary:
* calculated total energy: -4.6462 eV/atom
* space group: P4/mmm (123)
* formation energy: 0.03 eV/atom
* ΔE to the lowest computed polymorph: 21 meV per atom
* volume: 32.80 Å³/atom

The structure in extended XYZ format:
```
4
Lattice="-4.894 1.252 -0.307 0.218 -0.395 -5.072 -1.279 -4.918 0.328" Properties=species:S:1:pos:R:3 pbc="T T T"
Tb -2.977 -2.030 -2.526
Ho -0.639 -2.459 0.164
Ho 0.109 -0.197 -2.536
La -2.447 0.626 -0.154
```

[4]
VASP calculation (PBE-GGA) on La5Tb3Ho2 after structural relaxation.

Summary:
* calculated total energy: -4.6105 eV/atom
* space group: C2/c (15)
* formation energy: 0.16 eV/atom
* volume: 34.99 Å³/atom

The structure in extended XYZ format:
```
20
Lattice="8.958 2.153 -4.388 0.613 9.168 -4.420 -2.353 -2.738 10.804" Properties=species:S:1:pos:R:3 pbc="T T T"
La 2.664 5.264 -2.998
La 4.554 3.320 4.993
La -0.592 5.657 2.414
La 3.539 2.099 2.320
La 7.811 2.927 -0.419
La 3.680 6.484 -0.325
La 6.508 5.637 1.532
La 0.711 2.946 0.463
La 1.668 -0.118 6.000
La 5.550 8.702 -4.005
Tb 0.409 6.860 5.048
Tb 6.809 1.724 -3.053
Tb 6.153 5.182 -2.556
Tb 1.065 3.401 4.551
Tb 0.147 6.514 -0.881
Tb 7.071 2.070 2.876
Ho 5.268 -0.061 4.595
Ho 1.950 8.644 -2.600
Ho 2.902 5.572 2.921
Ho 4.316 3.011 -0.926
```

[5]
VASP calculation (PBE-GGA) on LaTb6Ho3 after structural relaxation.

Summary:
* calculated total energy: -4.3731 eV/atom
* space group: R3 (146)
* formation energy: 0.27 eV/atom
* ΔE to the lowest computed polymorph: 117 meV per atom
* volume: 32.91 Å³/atom

The structure in extended XYZ format:
```
10
Lattice="-6.532 2.184 7.030 -9.631 -0.112 -2.024 -5.557 -3.094 2.686" Properties=species:S:1:pos:R:3 pbc="T T T"
La -16.213 0.936 5.311
Tb -13.007 0.980 5.988
Tb -11.859 -0.515 0.618
Tb -7.611 0.289 4.318
Tb -8.770 -2.358 1.839
Tb -9.889 -0.887 7.121
Tb -14.073 -1.676 3.489
Ho -10.911 -1.655 4.154
Ho -10.786 1.133 3.404
Ho -5.480 -1.359 2.220
```

[6]
VASP calculation (PBE-GGA) on La2Tb3Ho2 after structural relaxation.

Summary:
* calculated total energy: -4.6524 eV/atom
* space group: P-1 (2)
* formation energy: 0.05 eV/atom
* ΔE to the lowest computed polymorph: 0 meV per atom
* volume: 33.39 Å³/atom

The structure in extended XYZ format:
```
7
Lattice="3.414 -0.887 0.516 -1.780 8.945 2.627 0.942 1.552 8.827" Properties=species:S:1:pos:R:3 pbc="T T T"
La 3.160 1.277 5.968
La -0.585 8.332 6.001
Tb 0.000 0.000 0.000
Tb 2.415 4.605 4.313
Tb 0.161 5.005 7.656
Ho 0.368 2.611 2.112
Ho 2.208 6.999 9.857
```

formation energy of number 3 (LaTbHo2)? 0.03 eV/atom